Entry 1:
# HfSn2Ru

A relaxed structure of HfSn2Ru (PBE, Alexandria).

Lattice parameters (Å, degrees): 4.123 4.123 10.561 78.74 78.74 90.00
Sites, in units of the cell vectors:
Sn  0.375  0.384  0.750
Ru  0.250  0.750  0.500
Sn  0.134  0.625  0.250
Sn  0.616  0.125  0.250
Sn  0.875  0.866  0.750
Hf  0.750  0.250  0.500
Hf  0.000  0.000  0.000
Ru  0.500  0.500  0.000

Properties
Space group: No. 122



Entry 2:
# HfSn4Ru

A relaxed structure of HfSn4Ru (PBE, Alexandria).

Lattice parameters (Å, degrees): 6.723 6.723 7.602 116.24 116.24 90.00
Sites, in units of the cell vectors:
Sn  0.297  0.484  0.281
Sn  0.016  0.203  0.719
Sn  0.797  0.297  0.281
Ru  0.750  0.750  0.500
Hf  0.500  0.500  0.000
Sn  0.203  0.703  0.719
Hf  0.000  0.000  0.000
Sn  0.984  0.797  0.281
Sn  0.516  0.016  0.719
Ru  0.250  0.250  0.500
Sn  0.703  0.516  0.719
Sn  0.484  0.984  0.281

Properties
Space group: No. 140



What are the formation energy values for these records? In order: 0.1565 -0.1558 eV per atom.